Material: CsNaMnO2
Method: DFT, PBE+U
State: optimized geometry

Geometry as POSCAR:
```
CsNaMnO2
1.0
-1.901 2.618 -4.764
-1.900 -6.764 0.522
-4.895 1.594 2.829
Cs Na Mn O
2 2 2 4
direct
0.750 0.500 0.795
0.250 0.500 0.205
0.000 0.000 0.500
0.500 0.000 0.500
0.750 0.000 0.000
0.250 0.000 0.000
0.914 0.828 0.180
0.586 0.172 0.180
0.414 0.828 0.820
0.086 0.172 0.820
```

Results
Size of the total moment   10.00 μB per cell
E_tot   -51.65 eV per cell
Symmetry   Cmme, No. 67